(1)
A plane-wave DFT calculation with PBE was carried out for a geometry-optimized LiGa6Ag3 structure.

Geometry as POSCAR:
```
LiGa6Ag3
1.0
4.760 -6.713 0.000
4.760 6.713 0.000
0.000 0.000 5.840
Li Ga Ag
2 12 6
Direct
0.189 0.811 0.500 Li
0.811 0.189 0.000 Li
0.103 0.474 0.724 Ga
0.216 0.249 0.954 Ga
0.217 0.783 0.988 Ga
0.249 0.216 0.454 Ga
0.459 0.541 0.652 Ga
0.474 0.103 0.224 Ga
0.526 0.897 0.724 Ga
0.541 0.459 0.152 Ga
0.751 0.784 0.954 Ga
0.783 0.217 0.488 Ga
0.784 0.751 0.454 Ga
0.897 0.526 0.224 Ga
0.030 0.970 0.190 Ag
0.204 0.495 0.259 Ag
0.495 0.204 0.759 Ag
0.505 0.796 0.259 Ag
0.796 0.505 0.759 Ag
0.970 0.030 0.690 Ag
```

Results
The raw total energy is -0.1061 hartree per atom. The calculated density is 6664 kg/m3. As for the energy above the most stable polymorph in this dataset: 38 kJ/mol of formula units.

(2)
A plane-wave DFT calculation with PBE was carried out for a geometry-optimized Li2Ga2Ag structure.

Geometry as POSCAR:
```
Li2Ga2Ag
1.0
7.180 0.000 0.000
0.000 7.180 0.000
0.000 0.000 3.148
Li Ga Ag
4 4 2
Direct
0.140 0.360 0.000 Li
0.360 0.860 0.000 Li
0.640 0.140 0.000 Li
0.860 0.640 0.000 Li
0.157 0.657 0.500 Ga
0.343 0.157 0.500 Ga
0.657 0.843 0.500 Ga
0.843 0.343 0.500 Ga
0.000 0.000 0.000 Ag
0.500 0.500 0.000 Ag
```

Results
The raw total energy is -0.0977 hartree per atom. The calculated density is 5346 kg/m3. As for the energy above the most stable polymorph in this dataset: 74 kJ/mol of formula units.

(3)
A plane-wave DFT calculation with PBE was carried out for a geometry-optimized Li4GaAg7 structure.

Geometry as POSCAR:
```
Li4GaAg7
1.0
5.025 -2.460 0.000
5.025 2.460 0.000
-4.940 0.000 9.082
Li Ga Ag
4 1 7
Direct
0.116 0.116 0.278 Li
0.219 0.219 0.807 Li
0.781 0.781 0.193 Li
0.884 0.884 0.722 Li
0.500 0.500 0.500 Ga
0.000 0.000 0.500 Ag
0.153 0.153 0.030 Ag
0.303 0.303 0.587 Ag
0.466 0.466 0.121 Ag
0.534 0.534 0.879 Ag
0.697 0.697 0.413 Ag
0.847 0.847 0.970 Ag
```

Results
The raw total energy is -0.0956 hartree per atom. The calculated density is 6305 kg/m3. As for the energy above the most stable polymorph in this dataset: 142 kJ/mol of formula units.

(4)
A plane-wave DFT calculation with PBE was carried out for a geometry-optimized Li2Ga7Ag2 structure.

Geometry as POSCAR:
```
Li2Ga7Ag2
1.0
4.300 -3.658 0.000
4.300 3.658 0.000
-1.306 0.000 6.854
Li Ga Ag
2 7 2
Direct
0.193 0.193 0.033 Li
0.807 0.807 0.967 Li
0.022 0.022 0.306 Ga
0.082 0.471 0.728 Ga
0.471 0.082 0.728 Ga
0.500 0.500 0.000 Ga
0.529 0.918 0.272 Ga
0.918 0.529 0.272 Ga
0.978 0.978 0.694 Ga
0.318 0.682 0.500 Ag
0.682 0.318 0.500 Ag
```

Results
The raw total energy is -0.1016 hartree per atom. The calculated density is 5527 kg/m3.

(5)
A plane-wave DFT calculation with PBE was carried out for a geometry-optimized Li5GaAg3 structure.

Geometry as POSCAR:
```
Li5GaAg3
1.0
3.672 -4.836 0.000
3.672 4.836 0.000
-2.392 0.000 10.425
Li Ga Ag
10 2 6
Direct
0.152 0.642 0.343 Li
0.165 0.165 0.341 Li
0.170 0.170 0.845 Li
0.235 0.765 0.000 Li
0.358 0.848 0.657 Li
0.642 0.152 0.343 Li
0.765 0.235 0.000 Li
0.830 0.830 0.155 Li
0.835 0.835 0.659 Li
0.848 0.358 0.657 Li
0.490 0.490 0.753 Ga
0.510 0.510 0.247 Ga
0.168 0.168 0.589 Ag
0.173 0.173 0.096 Ag
0.500 0.500 0.000 Ag
0.500 0.500 0.500 Ag
0.827 0.827 0.904 Ag
0.832 0.832 0.411 Ag
```

Results
The raw total energy is -0.0885 hartree per atom. The calculated density is 3839 kg/m3.

(6)
A plane-wave DFT calculation with PBE was carried out for a geometry-optimized Li3Ga2Ag3 structure.

Geometry as POSCAR:
```
Li3Ga2Ag3
1.0
2.189 -4.536 0.000
2.189 4.536 0.000
0.000 0.000 13.225
Li Ga Ag
6 4 6
Direct
0.053 0.947 0.592 Li
0.053 0.947 0.908 Li
0.221 0.779 0.750 Li
0.779 0.221 0.250 Li
0.947 0.053 0.092 Li
0.947 0.053 0.408 Li
0.241 0.759 0.142 Ga
0.241 0.759 0.358 Ga
0.759 0.241 0.642 Ga
0.759 0.241 0.858 Ga
0.357 0.643 0.551 Ag
0.357 0.643 0.949 Ag
0.495 0.505 0.250 Ag
0.505 0.495 0.750 Ag
0.643 0.357 0.051 Ag
0.643 0.357 0.449 Ag
```

Results
The raw total energy is -0.1002 hartree per atom. The calculated density is 6118 kg/m3. As for the energy above the most stable polymorph in this dataset: 2 kJ/mol of formula units.

(7)
A plane-wave DFT calculation with PBE was carried out for a geometry-optimized LiGa3Ag6 structure.

Geometry as POSCAR:
```
LiGa3Ag6
1.0
8.219 4.745 0.970
-8.219 4.745 0.970
0.000 -9.491 0.970
Li Ga Ag
1 3 6
Direct
0.000 0.000 0.000 Li
0.184 0.184 0.703 Ga
0.184 0.703 0.184 Ga
0.703 0.184 0.184 Ga
0.098 0.813 0.813 Ag
0.305 0.551 0.551 Ag
0.551 0.305 0.551 Ag
0.551 0.551 0.305 Ag
0.813 0.098 0.813 Ag
0.813 0.813 0.098 Ag
```

Results
The raw total energy is -0.0990 hartree per atom. The calculated density is 6316 kg/m3. As for the energy above the most stable polymorph in this dataset: 126 kJ/mol of formula units.

(8)
A plane-wave DFT calculation with PBE was carried out for a geometry-optimized Li3Ga4Ag2 structure.

Geometry as POSCAR:
```
Li3Ga4Ag2
1.0
6.797 -3.913 0.000
6.797 3.913 0.000
-0.005 0.000 5.728
Li Ga Ag
6 8 4
Direct
0.000 0.000 0.250 Li
0.000 0.000 0.750 Li
0.331 0.332 0.250 Li
0.332 0.331 0.750 Li
0.668 0.669 0.250 Li
0.669 0.668 0.750 Li
0.005 0.662 0.999 Ga
0.335 0.662 0.000 Ga
0.338 0.665 0.500 Ga
0.338 0.995 0.501 Ga
0.662 0.005 0.499 Ga
0.662 0.335 0.500 Ga
0.665 0.338 0.000 Ga
0.995 0.338 0.001 Ga
0.001 0.322 0.501 Ag
0.322 0.001 0.001 Ag
0.678 0.999 0.999 Ag
0.999 0.678 0.499 Ag
```

Results
The raw total energy is -0.1052 hartree per atom. The calculated density is 5619 kg/m3. As for the energy above the most stable polymorph in this dataset: 2 kJ/mol of formula units.

(9)
A plane-wave DFT calculation with PBE was carried out for a geometry-optimized LiGaAg2 structure.

Geometry as POSCAR:
```
LiGaAg2
1.0
3.993 0.000 0.000
0.000 3.993 0.000
0.000 0.000 18.676
Li Ga Ag
4 4 8
Direct
0.000 0.000 0.000 Li
0.000 0.500 0.250 Li
0.500 0.000 0.750 Li
0.500 0.500 0.500 Li
0.000 0.000 0.500 Ga
0.000 0.500 0.750 Ga
0.500 0.000 0.250 Ga
0.500 0.500 0.000 Ga
0.248 0.250 0.625 Ag
0.250 0.748 0.875 Ag
0.250 0.752 0.375 Ag
0.252 0.250 0.125 Ag
0.748 0.750 0.125 Ag
0.750 0.248 0.375 Ag
0.750 0.252 0.875 Ag
0.752 0.750 0.625 Ag
```

Results
The raw total energy is -0.0969 hartree per atom. The calculated density is 6522 kg/m3.

(10)
A plane-wave DFT calculation with PBE was carried out for a geometry-optimized Li2Ga3Ag3 structure.

Geometry as POSCAR:
```
Li2Ga3Ag3
1.0
3.989 0.000 0.000
0.000 4.225 0.000
0.000 0.000 7.832
Li Ga Ag
2 3 3
Direct
0.000 0.000 0.249 Li
0.000 0.000 0.751 Li
0.000 0.500 0.000 Ga
0.500 0.500 0.247 Ga
0.500 0.500 0.753 Ga
0.000 0.500 0.500 Ag
0.500 0.000 0.000 Ag
0.500 0.000 0.500 Ag
```

Results
The raw total energy is -0.1054 hartree per atom. The calculated density is 6876 kg/m3. As for the energy above the most stable polymorph in this dataset: 0 kJ/mol of formula units.

(11)
A plane-wave DFT calculation with PBE was carried out for a geometry-optimized Li2GaAg2 structure.

Geometry as POSCAR:
```
Li2GaAg2
1.0
7.050 0.000 0.000
0.000 7.050 0.000
0.000 0.000 3.427
Li Ga Ag
4 2 4
Direct
0.159 0.341 0.000 Li
0.341 0.841 0.000 Li
0.659 0.159 0.000 Li
0.841 0.659 0.000 Li
0.000 0.000 0.500 Ga
0.500 0.500 0.500 Ga
0.143 0.643 0.500 Ag
0.357 0.143 0.500 Ag
0.643 0.857 0.500 Ag
0.857 0.357 0.500 Ag
```

Results
The raw total energy is -0.0982 hartree per atom. The calculated density is 5836 kg/m3. As for the energy above the most stable polymorph in this dataset: 27 kJ/mol of formula units.

(12)
A plane-wave DFT calculation with PBE was carried out for a geometry-optimized Li3GaAg2 structure.

Geometry as POSCAR:
```
Li3GaAg2
1.0
0.000 4.380 7.723
2.805 0.000 7.723
2.805 4.380 0.000
Li Ga Ag
6 2 4
Direct
0.157 0.674 0.326 Li
0.172 0.172 0.828 Li
0.326 0.843 0.157 Li
0.674 0.157 0.843 Li
0.828 0.828 0.172 Li
0.843 0.326 0.674 Li
0.338 0.338 0.662 Ga
0.662 0.662 0.338 Ga
0.249 0.751 0.751 Ag
0.250 0.250 0.250 Ag
0.750 0.750 0.750 Ag
0.751 0.249 0.249 Ag
```

Results
The raw total energy is -0.0963 hartree per atom. The calculated density is 5360 kg/m3.

no.,energy relative to the elements (eV per formula unit)
1,-0.25
2,-0.55
3,-0.57
4,0.31
5,-0.51
6,-1.47
7,1.15
8,-2.21
9,0.10
10,-1.48
11,-0.80
12,-1.25